The following is a PBEsol calculation of LaIn2CoB after structural relaxation, from Alexandria.

Results
- symmetry = No. 123
- formation enthalpy at 0 K (eV/atom) = 1.919
- total magnetic moment (μB per cell) = 0.0
- final energy (eV per atom) = -3.294
- Fermi-level density of states (states/eV/cell) = 5.15

Cell lengths 4.3820, 6.0393, 6.0393 Å; angles 90.00, 90.00, 90.00 degrees
Closest atoms and distances in Å follow each position.
Fractional coordinates of all 5 atoms:
B (0.5000, 0.5000, 0.5000)  8 In 3.73
In (0.0000, 0.0000, 0.5000)  2 La 3.02
In (0.0000, 0.5000, 0.0000)  2 La 3.02
Co (0.5000, 0.0000, 0.0000)  2 La 2.19
La (0.0000, 0.0000, 0.0000)  2 Co 2.19

---

The following is a PBEsol calculation of Mg2CoB2Ir5 after structural relaxation, from Alexandria.

Results
- symmetry = No. 127
- formation enthalpy at 0 K (eV/atom) = -0.356
- total magnetic moment (μB per cell) = 4.9
- final energy (eV per atom) = -7.788
- Fermi-level density of states (states/eV/cell) = 9.98

Cell lengths 2.8794, 9.3495, 9.3495 Å; angles 90.00, 90.00, 90.00 degrees
Closest atoms and distances in Å follow each position.
Fractional coordinates of all 20 atoms:
Mg (0.0000, 0.8232, 0.3232)  3 B 2.60-2.88, 10 Ir 2.75-2.91, 2 Mg 2.88
Mg (0.0000, 0.1768, 0.6768)  3 B 2.60-2.88, 10 Ir 2.75-2.91, 2 Mg 2.88
Mg (0.0000, 0.3232, 0.1768)  3 B 2.60-2.88, 10 Ir 2.75-2.91, 2 Mg 2.88
Mg (0.0000, 0.6768, 0.8232)  3 B 2.60-2.88, 10 Ir 2.75-2.91, 2 Mg 2.88
Co (0.0000, 0.5000, 0.5000)  8 Ir 2.54
Co (0.0000, 0.0000, 0.0000)  8 Ir 2.54
B (0.0000, 0.6267, 0.1267)  6 Ir 2.14-2.21
B (0.0000, 0.3733, 0.8733)  6 Ir 2.14-2.21
B (0.0000, 0.1267, 0.3733)  6 Ir 2.14-2.21
B (0.0000, 0.8733, 0.6267)  6 Ir 2.14-2.21
Ir (0.5000, 0.5000, 0.0000)  4 B 2.21
Ir (0.5000, 0.0000, 0.5000)  4 B 2.21
Ir (0.5000, 0.7131, 0.5701)  2 B 2.14
Ir (0.5000, 0.2869, 0.4299)  2 B 2.14
Ir (0.5000, 0.2131, 0.9299)  2 B 2.14
Ir (0.5000, 0.7869, 0.0701)  2 B 2.14
Ir (0.5000, 0.4299, 0.7131)  2 B 2.14
Ir (0.5000, 0.5701, 0.2869)  2 B 2.14
Ir (0.5000, 0.0701, 0.2131)  2 B 2.14
Ir (0.5000, 0.9299, 0.7869)  2 B 2.14

---

The following is a PBEsol calculation of NbCo2BIr after structural relaxation, from Alexandria.

Results
- symmetry = No. 123
- formation enthalpy at 0 K (eV/atom) = 1.880
- total magnetic moment (μB per cell) = 0.7
- final energy (eV per atom) = -6.747
- Fermi-level density of states (states/eV/cell) = 6.64

Cell lengths 4.1041, 4.2509, 4.2509 Å; angles 90.00, 90.00, 90.00 degrees
Closest atoms and distances in Å follow each position.
Fractional coordinates of all 5 atoms:
Nb (0.0000, 0.0000, 0.0000)  2 B 2.05, 4 Co 2.13
Ir (0.5000, 0.5000, 0.5000)  8 Co 2.95, 4 B 3.01
Co (0.0000, 0.0000, 0.5000)  2 Nb 2.13
Co (0.0000, 0.5000, 0.0000)  2 Nb 2.13
B (0.5000, 0.0000, 0.0000)  2 Nb 2.05